# B7C5

B7C5 after structural relaxation (PBE, the Alexandria database).

Cell lengths 2.617, 4.237, 7.928 Å; angles 85.64, 90.00, 90.00 degrees
Positions (direct):
C: 0.000 0.040 0.337
B: 0.000 0.235 0.508
B: 0.500 0.380 0.104
B: 0.500 0.540 0.533
B: 0.500 0.872 0.387
B: 0.500 0.447 0.810
B: 0.500 0.727 0.974
B: 0.000 0.020 0.995
C: 0.000 0.997 0.681
C: 0.000 0.227 0.818
C: 0.000 0.223 0.163
C: 0.500 0.793 0.689

Offset from the most stable computed form in meV per atom: 253.1
Calculated volume in Å³/cell: 88
Theoretical density in g cm⁻³: 2.57